# FeCuF3

A relaxed structure of FeCuF3 (GGA+U, Alexandria).

Cell and atoms, written as CIF:
```
data_FeCuF3
_space_group_name_H-M_alt 'P m -3 m'
_space_group_IT_number 221
_space_group_name_Hall '-P 4 2 3'
_cell_length_a 4.004
_cell_length_b 4.004
_cell_length_c 4.004
_cell_angle_alpha 90.00
_cell_angle_beta 90.00
_cell_angle_gamma 90.00
loop_
_atom_site_label
_atom_site_type_symbol
_atom_site_fract_x
_atom_site_fract_y
_atom_site_fract_z
Fe1 Fe 0.000 0.000 0.000
Cu1 Cu 0.500 0.500 0.500
F1 F 0.000 0.500 0.500
```

For the mass density, the calculation gives 4.6 Mg/m³. As for the density of states at the Fermi level: 5.7 states/eV/cell. The total energy comes out at -21.1 eV/cell. For the relative energy among the computed polymorphs, the calculation gives 262 meV/atom.